A plane-wave DFT calculation with PBE-GGA was carried out for a geometry-optimized Rb2AsOsO6 structure.

E_form (uncorrected), eV/atom: -1.10
Space group: I4/mmm, No. 139
DFT total energy, eV/atom: -5.85

a = 5.8036 Å, b = 5.8036 Å, c = 5.8190 Å
α = 60.08°, β = 60.08°, γ = 89.98°
Last column: nearest neighbours and their distance in Å.
Fractional coordinates of all 10 atoms:
O 0.2329 0.2329 0.5344  1 Os 1.92
O 0.7671 0.7671 0.4656  1 Os 1.92
O 0.7651 0.2349 0.0000  1 Os 1.93
As 0.5000 0.5000 0.0000  6 O 2.18-2.20
O 0.2349 0.7651 0.0000  1 Os 1.93
O 0.7654 0.7653 0.9998  1 Os 1.93
Os 0.0000 0.0000 0.0000  6 O 1.92-1.93
Rb 0.2500 0.7500 0.5000  12 O 2.90-2.91
O 0.2346 0.2347 0.0002  1 Os 1.93
Rb 0.7500 0.2500 0.5000  12 O 2.90-2.91



A plane-wave DFT calculation with PBE-GGA was carried out for a geometry-optimized AsOs2SO structure.

E_form (uncorrected), eV/atom: 1.69
Space group: P4/mmm, No. 123
DFT total energy, eV/atom: -5.55

a = 4.2956 Å, b = 4.9519 Å, c = 4.2956 Å
α = 90.00°, β = 90.00°, γ = 90.00°
Last column: nearest neighbours and their distance in Å.
Fractional coordinates of all 5 atoms:
As 0.0000 0.5000 0.0000  2 S 2.48
Os 0.5000 0.0000 0.0000  2 S 2.15
Os 0.0000 0.0000 0.5000  2 S 2.15
S 0.0000 0.0000 0.0000  4 Os 2.15
O 0.5000 0.5000 0.5000  4 As 3.04, 8 Os 3.28



A plane-wave DFT calculation with PBE-GGA was carried out for a geometry-optimized SnAsOsO2 structure.

E_form (uncorrected), eV/atom: -0.34
Space group: P4/mmm, No. 123
DFT total energy, eV/atom: -6.30

a = 3.8995 Å, b = 3.8995 Å, c = 5.3803 Å
α = 90.00°, β = 90.00°, γ = 90.00°
Last column: nearest neighbours and their distance in Å.
Fractional coordinates of all 5 atoms:
As 0.0000 0.0000 0.5000  2 Os 2.69, 4 Sn 2.76
O 0.0000 0.5000 0.0000  2 Os 1.95
Sn 0.5000 0.5000 0.5000  4 As 2.76
Os 0.0000 0.0000 0.0000  4 O 1.95
O 0.5000 0.0000 0.0000  2 Os 1.95



A plane-wave DFT calculation with PBE-GGA was carried out for a geometry-optimized TlAs2OsO structure.

E_form (uncorrected), eV/atom: 2.36
Space group: P4/mmm, No. 123
DFT total energy, eV/atom: -3.21

a = 5.2873 Å, b = 5.2413 Å, c = 5.2873 Å
α = 90.00°, β = 90.00°, γ = 90.00°
Last column: nearest neighbours and their distance in Å.
Fractional coordinates of all 5 atoms:
As 0.5000 0.0000 0.0000  2 Tl 2.64
O 0.5000 0.5000 0.5000  8 As 3.72, 4 Os 3.74
As 0.0000 0.0000 0.5000  2 Tl 2.64
Os 0.0000 0.5000 0.0000  2 Tl 2.62
Tl 0.0000 0.0000 0.0000  2 Os 2.62, 4 As 2.64



A plane-wave DFT calculation with PBE-GGA was carried out for a geometry-optimized AsP2O structure.

E_form (uncorrected), eV/atom: 0.19
ΔE to the lowest computed polymorph, kcal/mol of atoms: 0.00
Space group: I-42d, No. 122
DFT total energy, eV/atom: -4.91

a = 4.4428 Å, b = 4.4428 Å, c = 7.2521 Å
α = 72.16°, β = 72.16°, γ = 90.00°
Last column: nearest neighbours and their distance in Å.
Fractional coordinates of all 8 atoms:
P 0.5072 0.1250 0.2500  2 O 2.06
O 0.2500 0.7500 0.5000  4 P 2.06
P 0.8750 0.7572 0.7500  2 O 2.06
P 0.2428 0.6250 0.2500  2 O 2.06
O 0.5000 0.5000 0.0000  4 P 2.06
P 0.3750 0.4928 0.7500  2 O 2.06
As 0.0000 0.0000 0.0000  4 P 2.56
As 0.7500 0.2500 0.5000  4 P 2.56



A plane-wave DFT calculation with PBE-GGA was carried out for a geometry-optimized AsPO4 structure.

E_form (uncorrected), eV/atom: -1.73
Space group: Pnma, No. 62
DFT total energy, eV/atom: -6.72

a = 5.0422 Å, b = 7.8005 Å, c = 8.7164 Å
α = 90.00°, β = 90.00°, γ = 90.00°
Last column: nearest neighbours and their distance in Å.
Fractional coordinates of all 24 atoms:
O 0.2500 0.0566 0.7645  1 P 1.59
P 0.2500 0.3094 0.4021  4 O 1.49-1.59
O 0.2500 0.3854 0.5595  1 P 1.49
O 0.0023 0.1903 0.3761  1 P 1.57
O 0.9977 0.8097 0.6239  1 P 1.57
P 0.7500 0.8094 0.0979  4 O 1.49-1.59
O 0.5023 0.6903 0.1239  1 P 1.57
O 0.2500 0.1146 0.0595  1 P 1.49
O 0.4977 0.3097 0.8761  1 P 1.57
O 0.2500 0.4434 0.2645  1 P 1.59
As 0.2500 0.6787 0.2772  3 O 1.84-1.85
As 0.7500 0.3213 0.7228  3 O 1.84-1.85
O 0.7500 0.6146 0.4405  1 P 1.49
P 0.7500 0.6906 0.5979  4 O 1.49-1.59
As 0.2500 0.8213 0.7772  3 O 1.84-1.85
O 0.7500 0.8854 0.9405  1 P 1.49
As 0.7500 0.1787 0.2228  3 O 1.84-1.85
O 0.7500 0.9434 0.2355  1 P 1.59
O 0.5023 0.8097 0.6239  1 P 1.57
O 0.0023 0.3097 0.8761  1 P 1.57
O 0.9977 0.6903 0.1239  1 P 1.57
O 0.7500 0.5566 0.7355  1 P 1.59
O 0.4977 0.1903 0.3761  1 P 1.57
P 0.2500 0.1906 0.9021  4 O 1.49-1.59



A plane-wave DFT calculation with PBE-GGA was carried out for a geometry-optimized AsPO2 structure.

E_form (uncorrected), eV/atom: -0.38
ΔE to the lowest computed polymorph, kcal/mol of atoms: 0.00
Space group: R-3m, No. 166
DFT total energy, eV/atom: -5.38

a = 6.9500 Å, b = 6.9500 Å, c = 6.9500 Å
α = 23.87°, β = 23.87°, γ = 23.87°
Last column: nearest neighbours and their distance in Å.
Fractional coordinates of all 4 atoms:
O 0.0813 0.0813 0.0813  1 P 1.65
P 0.0000 0.0000 0.0000  2 O 1.65
As 0.5000 0.5000 0.5000  6 O 2.40
O 0.9187 0.9187 0.9187  1 P 1.65



A plane-wave DFT calculation with PBE-GGA was carried out for a geometry-optimized AsPO2 structure.

E_form (uncorrected), eV/atom: -0.30
ΔE to the lowest computed polymorph, kcal/mol of atoms: 1.98
Space group: Fd-3m, No. 227
DFT total energy, eV/atom: -5.29

a = 5.5231 Å, b = 5.5231 Å, c = 5.5261 Å
α = 60.02°, β = 60.02°, γ = 90.00°
Last column: nearest neighbours and their distance in Å.
Fractional coordinates of all 8 atoms:
O 0.3753 0.1250 0.2500  2 P 1.69
As 0.0000 0.0000 0.0000  12 O 3.24, 4 As 3.38, 4 P 3.38
O 0.3747 0.6250 0.2500  2 P 1.69
P 0.2500 0.7500 0.5000  4 O 1.69
O 0.3750 0.6247 0.7500  2 P 1.69
As 0.7500 0.2500 0.5000  12 O 3.24, 4 As 3.38, 4 P 3.38
O 0.8750 0.6253 0.7500  2 P 1.69
P 0.5000 0.5000 0.0000  4 O 1.69



A plane-wave DFT calculation with PBE-GGA was carried out for a geometry-optimized As2P4O structure.

E_form (uncorrected), eV/atom: 0.36
Space group: I4/mmm, No. 139
DFT total energy, eV/atom: -4.77

a = 4.0108 Å, b = 4.0108 Å, c = 8.3894 Å
α = 76.17°, β = 76.17°, γ = 90.00°
Last column: nearest neighbours and their distance in Å.
Fractional coordinates of all 7 atoms:
O 0.0000 0.0000 0.0000  4 P 2.01
P 0.0000 0.5000 0.0000  2 O 2.01
As 0.3951 0.3951 0.2098  5 P 2.38-2.60
P 0.5000 0.0000 0.0000  2 O 2.01
As 0.6049 0.6049 0.7902  5 P 2.38-2.60
P 0.7553 0.7553 0.4894  1 As 2.38
P 0.2447 0.2447 0.5106  1 As 2.38



A plane-wave DFT calculation with PBE-GGA was carried out for a geometry-optimized AsP3O9 structure.

E_form (uncorrected), eV/atom: -1.86
Space group: Cc, No. 9
DFT total energy, eV/atom: -6.90

a = 6.7183 Å, b = 7.6050 Å, c = 8.4363 Å
α = 74.57°, β = 66.54°, γ = 63.79°
Last column: nearest neighbours and their distance in Å.
Fractional coordinates of all 26 atoms:
As 0.0005 0.5021 0.0093  5 O 2.00-2.24
O 0.2629 0.9007 0.1150  2 P 1.62
P 0.0175 0.9582 0.8280  4 O 1.50-1.59
P 0.5898 0.2507 0.7273  4 O 1.49-1.62
As 0.4882 0.0021 0.5093  5 O 2.00-2.24
O 0.9124 0.0329 0.0150  2 P 1.59-1.61
O 0.8587 0.9476 0.3361  1 P 1.50
O 0.3742 0.8236 0.3935  1 P 1.49
O 0.0475 0.5567 0.2089  1 P 1.52
O 0.9530 0.2509 0.1703  1 P 1.51
O 0.1869 0.0567 0.7089  1 P 1.52
O 0.3157 0.2380 0.3407  1 P 1.50
P 0.9864 0.0410 0.1715  4 O 1.50-1.62
O 0.0398 0.5329 0.5150  2 P 1.59-1.61
P 0.4322 0.7507 0.2273  4 O 1.49-1.62
P 0.1963 0.4582 0.3280  4 O 1.50-1.59
P 0.8011 0.5410 0.6715  4 O 1.50-1.62
O 0.7934 0.0476 0.7665  2 P 1.59-1.61
O 0.4087 0.3236 0.8935  1 P 1.49
O 0.5194 0.2076 0.5957  1 P 1.52
O 0.1055 0.7380 0.8407  1 P 1.50
O 0.6773 0.7076 0.0957  1 P 1.52
O 0.7215 0.4007 0.6150  2 P 1.62
O 0.8576 0.4476 0.8361  1 P 1.50
O 0.3924 0.5476 0.2665  2 P 1.59-1.61
O 0.6258 0.7509 0.6702  1 P 1.51



A plane-wave DFT calculation with PBE-GGA was carried out for a geometry-optimized AsP3O structure.

E_form (uncorrected), eV/atom: 1.62
ΔE to the lowest computed polymorph, kcal/mol of atoms: 22.08
Space group: Pm-3m, No. 221
DFT total energy, eV/atom: -3.54

a = 4.6813 Å, b = 4.6813 Å, c = 4.6813 Å
α = 90.00°, β = 90.00°, γ = 90.00°
Last column: nearest neighbours and their distance in Å.
Fractional coordinates of all 5 atoms:
O 0.5000 0.5000 0.5000  12 P 3.31
P 0.0000 0.0000 0.5000  2 As 2.34
P 0.5000 0.0000 0.0000  2 As 2.34
As 0.0000 0.0000 0.0000  6 P 2.34
P 0.0000 0.5000 0.0000  2 As 2.34



A plane-wave DFT calculation with PBE-GGA was carried out for a geometry-optimized AsP3O structure.

E_form (uncorrected), eV/atom: 0.67
ΔE to the lowest computed polymorph, kcal/mol of atoms: 0.00
Space group: Pm-3m, No. 221
DFT total energy, eV/atom: -4.50

a = 4.2152 Å, b = 4.2152 Å, c = 4.2152 Å
α = 90.00°, β = 90.00°, γ = 90.00°
Last column: nearest neighbours and their distance in Å.
Fractional coordinates of all 5 atoms:
P 0.0000 0.0000 0.5000  2 O 2.11
O 0.0000 0.0000 0.0000  6 P 2.11
P 0.0000 0.5000 0.0000  2 O 2.11
P 0.5000 0.0000 0.0000  2 O 2.11
As 0.5000 0.5000 0.5000  12 P 2.98



no.,spin magnetization (μB per cell)
1,0.9
2,2.8
3,0.0
4,3.9
5,0.0
6,0.0
7,0.0
8,0.0
9,0.0
10,0.0
11,0.0
12,0.0